1:
{"formula": "LiCoAgGe", "functional": "GGA-PBE", "state": "relaxed", "sg": "F-43m, No. 216", "lattice": [[-0.097, -4.155, -0.940], [-2.545, -2.622, 2.193], [-3.442, -1.682, -1.866]], "species": ["Ge", "Ag", "Li", "Co"], "fractional_positions": [[0.000, 0.000, 0.000], [0.250, 0.250, 0.250], [0.500, 0.500, 0.500], [0.750, 0.750, 0.750]]}

2:
{"formula": "LiCoAgGe", "functional": "GGA-PBE", "state": "relaxed", "sg": "F-43m, No. 216", "lattice": [[0.000, 3.013, 3.013], [3.013, 0.000, 3.013], [3.013, 3.013, 0.000]], "species": ["Li", "Ge", "Co", "Ag"], "fractional_positions": [[0.250, 0.250, 0.250], [0.000, 0.000, 0.000], [0.750, 0.750, 0.750], [0.500, 0.500, 0.500]]}

Q: Which of them is the least stable? A: 1.

1:
{"formula": "TaCoAgGe", "functional": "GGA-PBE", "state": "relaxed", "sg": "F-43m, No. 216", "lattice": [[0.000, 3.129, 3.129], [3.129, 0.000, 3.129], [3.129, 3.129, 0.000]], "species": ["Ge", "Co", "Ag", "Ta"], "fractional_positions": [[0.000, 0.000, 0.000], [0.750, 0.750, 0.750], [0.250, 0.250, 0.250], [0.500, 0.500, 0.500]]}

2:
{"formula": "TaCoAgGe", "functional": "GGA-PBE", "state": "relaxed", "sg": "F-43m, No. 216", "lattice": [[-3.791, 2.125, 0.838], [-1.044, 3.647, -2.282], [-3.296, -0.105, -2.953]], "species": ["Co", "Ag", "Ta", "Ge"], "fractional_positions": [[0.750, 0.750, 0.750], [0.500, 0.500, 0.500], [0.250, 0.250, 0.250], [0.000, 0.000, 0.000]]}

Q: Which of them is the least stable? A: 1.

1:
{"formula": "ZnCoAgGe", "functional": "GGA-PBE", "state": "relaxed", "sg": "F-43m, No. 216", "lattice": [[-0.207, -3.403, -2.710], [-2.367, -3.495, 1.071], [-3.698, -0.863, -2.133]], "species": ["Ag", "Co", "Zn", "Ge"], "fractional_positions": [[0.250, 0.250, 0.250], [0.750, 0.750, 0.750], [0.500, 0.500, 0.500], [0.000, 0.000, 0.000]]}

2:
{"formula": "ZnCoAgGe", "functional": "GGA-PBE", "state": "relaxed", "sg": "F-43m, No. 216", "lattice": [[0.000, 3.096, 3.096], [3.096, 0.000, 3.096], [3.096, 3.096, 0.000]], "species": ["Zn", "Ag", "Co", "Ge"], "fractional_positions": [[0.250, 0.250, 0.250], [0.500, 0.500, 0.500], [0.750, 0.750, 0.750], [0.000, 0.000, 0.000]]}

Q: Which of them is the least stable? A: 2.

1:
{"formula": "HfCoAgSn", "functional": "GGA-PBE", "state": "relaxed", "sg": "F-43m, No. 216", "lattice": [[0.000, 3.259, 3.259], [3.259, 0.000, 3.259], [3.259, 3.259, 0.000]], "species": ["Co", "Hf", "Sn", "Ag"], "fractional_positions": [[0.750, 0.750, 0.750], [0.500, 0.500, 0.500], [0.000, 0.000, 0.000], [0.250, 0.250, 0.250]]}

2:
{"formula": "HfCoAgSn", "functional": "GGA-PBE", "state": "relaxed", "sg": "F-43m, No. 216", "lattice": [[4.475, -0.076, -1.196], [2.668, -3.580, 1.237], [1.491, -2.995, -3.206]], "species": ["Sn", "Co", "Ag", "Hf"], "fractional_positions": [[0.000, 0.000, 0.000], [0.750, 0.750, 0.750], [0.500, 0.500, 0.500], [0.250, 0.250, 0.250]]}

Q: Which of them is the least stable? A: 2.

1:
{"formula": "HfZnCoAg", "functional": "GGA-PBE", "state": "relaxed", "sg": "F-43m, No. 216", "lattice": [[-3.127, 1.610, 2.789], [-4.241, 0.449, -1.401], [-3.193, -2.719, 1.602]], "species": ["Hf", "Zn", "Ag", "Co"], "fractional_positions": [[0.250, 0.250, 0.250], [0.000, 0.000, 0.000], [0.500, 0.500, 0.500], [0.750, 0.750, 0.750]]}

2:
{"formula": "HfZnCoAg", "functional": "GGA-PBE", "state": "relaxed", "sg": "F-43m, No. 216", "lattice": [[0.000, 3.151, 3.151], [3.151, 0.000, 3.151], [3.151, 3.151, 0.000]], "species": ["Hf", "Ag", "Zn", "Co"], "fractional_positions": [[0.500, 0.500, 0.500], [0.250, 0.250, 0.250], [0.000, 0.000, 0.000], [0.750, 0.750, 0.750]]}

Q: Which of them is the least stable? A: 1.

1:
{"formula": "LuInCoAg", "functional": "GGA-PBE", "state": "relaxed", "sg": "F-43m, No. 216", "lattice": [[0.842, -2.557, 3.902], [-2.836, -3.632, 1.111], [1.589, -4.450, -0.379]], "species": ["Ag", "In", "Co", "Lu"], "fractional_positions": [[0.500, 0.500, 0.500], [0.000, 0.000, 0.000], [0.750, 0.750, 0.750], [0.250, 0.250, 0.250]]}

2:
{"formula": "LuInCoAg", "functional": "GGA-PBE", "state": "relaxed", "sg": "F-43m, No. 216", "lattice": [[-2.972, 1.647, 3.263], [-4.460, 0.979, -1.157], [-3.498, -2.725, 1.589]], "species": ["Co", "Ag", "In", "Lu"], "fractional_positions": [[0.750, 0.750, 0.750], [0.250, 0.250, 0.250], [0.000, 0.000, 0.000], [0.500, 0.500, 0.500]]}

Q: Which of them is the least stable? A: 1.

1:
{"formula": "ZrInCoAg", "functional": "GGA-PBE", "state": "relaxed", "sg": "F-43m, No. 216", "lattice": [[2.233, 1.252, 3.888], [-2.129, 2.696, 3.141], [-1.292, -1.781, 4.102]], "species": ["Zr", "Co", "Ag", "In"], "fractional_positions": [[0.500, 0.500, 0.500], [0.750, 0.750, 0.750], [0.250, 0.250, 0.250], [0.000, 0.000, 0.000]]}

2:
{"formula": "ZrInCoAg", "functional": "GGA-PBE", "state": "relaxed", "sg": "F-43m, No. 216", "lattice": [[-2.279, -1.945, 3.572], [-0.743, 2.445, 3.900], [-4.307, 1.428, 1.072]], "species": ["Co", "Ag", "In", "Zr"], "fractional_positions": [[0.750, 0.750, 0.750], [0.500, 0.500, 0.500], [0.000, 0.000, 0.000], [0.250, 0.250, 0.250]]}

Q: Which of them is the least stable? A: 2.

1:
{"formula": "LuCoAgSb", "functional": "GGA-PBE", "state": "relaxed", "sg": "F-43m, No. 216", "lattice": [[4.002, -2.293, 1.137], [0.264, -2.444, 4.065], [0.124, -4.748, -0.087]], "species": ["Lu", "Ag", "Sb", "Co"], "fractional_positions": [[0.250, 0.250, 0.250], [0.500, 0.500, 0.500], [0.000, 0.000, 0.000], [0.750, 0.750, 0.750]]}

2:
{"formula": "LuCoAgSb", "functional": "GGA-PBE", "state": "relaxed", "sg": "F-43m, No. 216", "lattice": [[0.921, -3.493, 3.019], [-3.496, -2.730, 1.578], [-0.312, -4.479, -1.416]], "species": ["Ag", "Sb", "Co", "Lu"], "fractional_positions": [[0.250, 0.250, 0.250], [0.000, 0.000, 0.000], [0.750, 0.750, 0.750], [0.500, 0.500, 0.500]]}

Q: Which of them is the least stable? A: 1.